This record from Alexandria via LeMat-Bulk describes an optimized crystal structure of La4Sc. The functional is PBE.

Values from the calculation:
As for the volume: 35.97 A^3/atom. The value obtained for the energy relative to the elements is 0.397 eV/atom. Its total energy is -4.811 eV per atom.

```
La4Sc
1.0
-5.4980 2.8183 6.7979
-2.2869 7.8188 4.2447
1.4972 -4.8655 -7.6464
La Sc
4 1
direct
0.5899 0.5899 0.0000 La
0.4101 0.4101 0.0000 La
0.7500 0.2500 0.5000 La
0.2500 0.7500 0.5000 La
0.0000 0.0000 0.0000 Sc
```